(a)
Entry from Alexandria: a relaxed structure of TbPaCo2 (PBE).

CIF file:
```
data_TbPaCo2
_chemical_formula_sum 'Tb1 Pa1 Co2'
_cell_length_a 3.342
_cell_length_b 3.342
_cell_length_c 6.756
_cell_angle_alpha 90.00
_cell_angle_beta 90.00
_cell_angle_gamma 90.00
_symmetry_space_group_name_H-M 'P 4/m m m'
_symmetry_Int_Tables_number 123
_symmetry_space_group_name_Hall '-P 4 2'
loop_
_atom_site_label
_atom_site_fract_x
_atom_site_fract_y
_atom_site_fract_z
_atom_site_occupancy
Tb1 0.000 0.000 0.000 1
Pa1 0.000 0.000 0.500 1
Co1 0.500 0.500 0.301 1
```


(b)
Entry from Alexandria: a relaxed structure of TbPaCo2 (PBE).

CIF file:
```
data_TbPaCo2
_chemical_formula_sum 'Tb4 Pa4 Co8'
_cell_length_a 6.665
_cell_length_b 6.665
_cell_length_c 6.665
_cell_angle_alpha 90.00
_cell_angle_beta 90.00
_cell_angle_gamma 90.00
_symmetry_space_group_name_H-M 'F m -3 m'
_symmetry_Int_Tables_number 225
_symmetry_space_group_name_Hall '-F 4 2 3'
loop_
_atom_site_label
_atom_site_fract_x
_atom_site_fract_y
_atom_site_fract_z
_atom_site_occupancy
Tb1 0.000 0.000 0.000 1
Pa1 0.000 0.000 0.500 1
Co1 0.250 0.250 0.250 1
```


What should be chosen as the most stable of them? Choose (a).